This record from Alexandria describes a relaxed NpScCuO6 crystal. The functional is PBE.

a b c (Å): 5.4452 5.4452 8.7550
angles (deg): 90.00 90.00 120.00
Last column: nearest neighbours and their distance in Å.
Space group P-31c (No. 163)
One atom of each set of equivalent atoms:
Np  0.3333  0.6667  0.2500 (multiplicity 2)  6 O 2.03
Sc  0.3333  0.6667  0.7500 (multiplicity 2)  6 O 2.12
Cu  0.0000  0.0000  0.0000 (multiplicity 2)  6 O 2.19
O  0.0128  0.3489  0.1310 (multiplicity 12)  1 Np 2.03, 1 Sc 2.12, 1 Cu 2.19

formation energy from raw total energies	-2.197	eV per atom
uncorrected energy	-145.8	eV/cell
ρ	6.52	Mg/m³
magnetization	1.03	μB/f.u.

=====

This record from Alexandria describes a relaxed NpCuSeO6 crystal. The functional is PBE.

a b c (Å): 5.3955 5.3955 9.0027
angles (deg): 90.00 90.00 120.00
Last column: nearest neighbours and their distance in Å.
Space group P-31c (No. 163)
One atom of each set of equivalent atoms:
Np  0.3333  0.6667  0.2500 (multiplicity 2)  6 O 2.07
Cu  0.0000  0.0000  0.0000 (multiplicity 2)  6 O 2.22
Se  0.3333  0.6667  0.7500 (multiplicity 2)  6 O 2.05
O  0.0023  0.3480  0.6321 (multiplicity 12)  1 Se 2.05, 1 Np 2.07, 1 Cu 2.22

formation energy from raw total energies	-1.353	eV per atom
uncorrected energy	-124.9	eV/cell
ρ	6.96	Mg/m³
magnetization	0.01	μB/f.u.

=====

This record from Alexandria describes a relaxed SmNpCuO6 crystal. The functional is PBE.

a b c (Å): 5.7461 5.7461 4.3980
angles (deg): 90.00 90.00 120.00
Last column: nearest neighbours and their distance in Å.
Space group P312 (No. 149)
One atom of each set of equivalent atoms:
Sm  0.0000  0.0000  0.0000 (multiplicity 1)  6 O 2.32
Np  0.3333  0.6667  0.0000 (multiplicity 1)  6 O 2.03
Cu  0.6667  0.3333  0.5000 (multiplicity 1)  6 O 2.27
O  0.0247  0.3704  0.2401 (multiplicity 6)  1 Np 2.03, 1 Cu 2.27

formation energy from raw total energies	-2.104	eV per atom
uncorrected energy	-70.4	eV/cell
ρ	7.22	Mg/m³
magnetization	1.04	μB/f.u.

=====

This record from Alexandria describes a relaxed NpCu2SnO8 crystal. The functional is PBE.

a b c (Å): 6.5450 6.5450 6.9442
angles (deg): 90.00 90.00 90.00
Last column: nearest neighbours and their distance in Å.
Space group I-4m2 (No. 119)
One atom of each set of equivalent atoms:
Np  0.0000  0.0000  0.0000 (multiplicity 2)  4 O 2.01
Cu  0.0000  0.0000  0.5000 (multiplicity 2)  4 O 1.88
Cu  0.0000  0.5000  0.2500 (multiplicity 2)  4 O 1.92
Sn  0.0000  0.5000  0.7500 (multiplicity 2)  4 O 2.08
O  0.0000  0.1862  0.7053 (multiplicity 8)  1 Cu 1.88, 1 Sn 2.08
O  0.0000  0.3042  0.0440 (multiplicity 8)  1 Cu 1.92, 1 Np 2.01

formation energy from raw total energies	-1.273	eV per atom
uncorrected energy	-160.2	eV/cell
ρ	6.82	Mg/m³
magnetization	2.63	μB/f.u.

=====

This record from Alexandria describes a relaxed NpCuSnO6 crystal. The functional is PBE.

a b c (Å): 5.4179 5.4179 9.0939
angles (deg): 90.00 90.00 120.00
Last column: nearest neighbours and their distance in Å.
Space group P-31c (No. 163)
One atom of each set of equivalent atoms:
Np  0.3333  0.6667  0.2500 (multiplicity 2)  6 O 2.08
Cu  0.0000  0.0000  0.0000 (multiplicity 2)  6 O 2.20
Sn  0.3333  0.6667  0.7500 (multiplicity 2)  6 O 2.11
O  0.0045  0.3449  0.1293 (multiplicity 12)  1 Np 2.08, 1 Sn 2.11, 1 Cu 2.20

formation energy from raw total energies	-1.669	eV per atom
uncorrected energy	-131.6	eV/cell
ρ	7.40	Mg/m³
magnetization	0.01	μB/f.u.

=====

This record from Alexandria describes a relaxed Sr3NpCu2O9 crystal. The functional is PBE.

a b c (Å): 5.6494 5.6494 7.1499
angles (deg): 90.00 90.00 120.00
Last column: nearest neighbours and their distance in Å.
Space group P-3m1 (No. 164)
One atom of each set of equivalent atoms:
Sr  0.0000  0.0000  0.0000 (multiplicity 1)  12 O 2.82-2.87
Sr  0.3333  0.6667  0.7181 (multiplicity 2)  9 O 2.59-2.85
Np  0.0000  0.0000  0.5000 (multiplicity 1)  6 O 2.03
Cu  0.3333  0.6667  0.1562 (multiplicity 2)  6 O 1.98-2.06
O  0.0000  0.5000  0.0000 (multiplicity 3)  2 Cu 1.98
O  0.1659  0.3318  0.3305 (multiplicity 6)  1 Np 2.03, 1 Cu 2.06

formation energy from raw total energies	-2.126	eV per atom
uncorrected energy	-102.7	eV/cell
ρ	6.48	Mg/m³
magnetization	0.36	μB/f.u.

=====

This record from Alexandria describes a relaxed Sr3NpCu2O8 crystal. The functional is PBE.

a b c (Å): 5.7530 5.7530 7.4887
angles (deg): 90.00 90.00 120.00
Last column: nearest neighbours and their distance in Å.
Space group P-3m1 (No. 164)
One atom of each set of equivalent atoms:
Sr  0.0000  0.0000  0.0000 (multiplicity 1)  12 O 3.02-3.35
Sr  0.3333  0.6667  0.6400 (multiplicity 2)  1 O 2.28
Np  0.0000  0.0000  0.5000 (multiplicity 1)  6 O 2.06
Cu  0.3333  0.6667  0.1832 (multiplicity 2)  1 O 1.79
O  0.1663  0.3326  0.3376 (multiplicity 6)  1 Cu 2.03, 1 Np 2.06
O  0.3333  0.6667  0.9447 (multiplicity 2)  1 Cu 1.79

formation energy from raw total energies	-2.065	eV per atom
uncorrected energy	-94.8	eV/cell
ρ	5.84	Mg/m³
magnetization	2.58	μB/f.u.

=====

This record from Alexandria describes a relaxed SrNp2CuO8 crystal. The functional is PBE.

a b c (Å): 7.5321 6.8385 6.9612
angles (deg): 90.00 91.82 90.00
Last column: nearest neighbours and their distance in Å.
Space group C2/m (No. 12)
One atom of each set of equivalent atoms:
Sr  0.0000  0.0000  0.0000 (multiplicity 2)  6 O 2.45-2.51
Np  0.0019  0.5000  0.2582 (multiplicity 4)  4 O 1.95-2.09
Cu  0.0000  0.0000  0.5000 (multiplicity 2)  4 O 2.13
O  0.0012  0.2164  0.7201 (multiplicity 8)  1 Np 1.95, 1 Cu 2.13
O  0.1664  0.5000  0.9868 (multiplicity 4)  2 Np 2.09-2.29
O  0.1705  0.5000  0.4930 (multiplicity 4)  2 Np 2.04-2.20

formation energy from raw total energies	-2.414	eV per atom
uncorrected energy	-200.6	eV/cell
ρ	6.98	Mg/m³
magnetization	1.50	μB/f.u.

=====

This record from Alexandria describes a relaxed SrNpCuO6 crystal. The functional is PBE.

a b c (Å): 5.3072 5.3072 11.0113
angles (deg): 90.00 90.00 120.00
Last column: nearest neighbours and their distance in Å.
Space group P-31c (No. 163)
One atom of each set of equivalent atoms:
Sr  0.0000  0.0000  0.0000 (multiplicity 2)  6 O 2.54
Np  0.3333  0.6667  0.2500 (multiplicity 2)  6 O 2.02
Cu  0.3333  0.6667  0.7500 (multiplicity 2)  6 O 2.03
O  0.0014  0.3698  0.1472 (multiplicity 12)  1 Np 2.02, 1 Cu 2.03

formation energy from raw total energies	-2.058	eV per atom
uncorrected energy	-134.0	eV/cell
ρ	5.99	Mg/m³
magnetization	2.00	μB/f.u.

=====

This record from Alexandria describes a relaxed SrNpCuO5 crystal. The functional is PBE.

a b c (Å): 6.9477 9.6509 8.0295
angles (deg): 90.00 113.72 90.00
Last column: nearest neighbours and their distance in Å.
Space group C2/c (No. 15)
One atom of each set of equivalent atoms:
Sr  0.0000  0.1719  0.2500 (multiplicity 4)  5 O 2.47-2.63
Np  0.0000  0.5000  0.0000 (multiplicity 4)  6 O 1.98-2.13
Cu  0.0000  0.1890  0.7500 (multiplicity 4)  4 O 1.98-2.01
O  0.0000  0.4273  0.2500 (multiplicity 4)  2 Np 2.13
O  0.0889  0.3022  0.5881 (multiplicity 8)  1 Cu 1.98, 1 Np 2.04
O  0.1967  0.0455  0.9121 (multiplicity 8)  1 Np 1.98, 1 Cu 2.01

formation energy from raw total energies	-2.331	eV per atom
uncorrected energy	-248.6	eV/cell
ρ	6.31	Mg/m³
magnetization	0.04	μB/f.u.

=====

This record from Alexandria describes a relaxed Sr2NpCu2O6 crystal. The functional is PBE.

a b c (Å): 6.0491 6.0491 15.9769
angles (deg): 90.00 90.00 120.00
Last column: nearest neighbours and their distance in Å.
Space group R-3m (No. 166, hexagonal axes)
One atom of each set of equivalent atoms:
Sr  0.0000  0.0000  0.2143 (multiplicity 6)  3 O 2.60
Np  0.0000  0.0000  0.0000 (multiplicity 3)  6 O 2.09
Cu  0.0000  0.0000  0.4198 (multiplicity 6)  3 O 1.90
O  0.0299  0.5150  0.7521 (multiplicity 18)  1 Cu 1.90, 1 Np 2.09

formation energy from raw total energies	-2.113	eV per atom
uncorrected energy	-232.5	eV/cell
ρ	6.25	Mg/m³
magnetization	0.96	μB/f.u.

=====

This record from Alexandria describes a relaxed NpCu2TeO8 crystal. The functional is PBE.

a b c (Å): 6.4520 6.4520 7.0528
angles (deg): 90.00 90.00 90.00
Last column: nearest neighbours and their distance in Å.
Space group I-4m2 (No. 119)
One atom of each set of equivalent atoms:
Np  0.0000  0.0000  0.0000 (multiplicity 2)  4 O 2.01
Cu  0.0000  0.0000  0.5000 (multiplicity 2)  4 O 1.90
Cu  0.0000  0.5000  0.2500 (multiplicity 2)  4 O 1.94
Te  0.0000  0.5000  0.7500 (multiplicity 2)  4 O 2.01
O  0.0000  0.1934  0.7033 (multiplicity 8)  1 Cu 1.90, 1 Te 2.01
O  0.0000  0.3090  0.0370 (multiplicity 8)  1 Cu 1.94, 1 Np 2.01

formation energy from raw total energies	-1.210	eV per atom
uncorrected energy	-156.9	eV/cell
ρ	7.01	Mg/m³
magnetization	1.29	μB/f.u.

=====

This record from Alexandria describes a relaxed NpTl2CuO6 crystal. The functional is PBE.

a b c (Å): 5.0320 5.5834 6.8844
angles (deg): 113.70 106.35 90.73
Last column: nearest neighbours and their distance in Å.
Space group P-1 (No. 2)
One atom of each set of equivalent atoms:
Np  0.0000  0.0000  0.0000 (multiplicity 1)  6 O 1.90-2.10
Tl  0.1902  0.7268  0.4483 (multiplicity 2)  7 O 2.82-3.11
Cu  0.5000  0.5000  0.0000 (multiplicity 1)  4 O 1.85
O  0.2207  0.6791  0.9083 (multiplicity 2)  1 Cu 1.85
O  0.2335  0.2085  0.8929 (multiplicity 2)  1 Cu 1.85
O  0.2376  0.1581  0.3012 (multiplicity 2)  1 Np 1.90

formation energy from raw total energies	-1.452	eV per atom
uncorrected energy	-66.0	eV/cell
ρ	7.95	Mg/m³
magnetization	0.00	μB/f.u.

=====

This record from Alexandria describes a relaxed NpTlCu2O8 crystal. The functional is PBE.

a b c (Å): 6.7074 6.7074 6.9750
angles (deg): 90.00 90.00 90.00
Last column: nearest neighbours and their distance in Å.
Space group I-4m2 (No. 119)
One atom of each set of equivalent atoms:
Np  0.0000  0.0000  0.0000 (multiplicity 2)  4 O 2.01
Tl  0.0000  0.5000  0.2500 (multiplicity 2)  4 O 2.22
Cu  0.0000  0.0000  0.5000 (multiplicity 2)  4 O 1.84
Cu  0.0000  0.5000  0.7500 (multiplicity 2)  4 O 1.93
O  0.0000  0.1724  0.2952 (multiplicity 8)  1 Cu 1.84
O  0.0000  0.2931  0.9426 (multiplicity 8)  1 Cu 1.93, 1 Np 2.01

formation energy from raw total energies	-0.997	eV per atom
uncorrected energy	-150.3	eV/cell
ρ	7.37	Mg/m³
magnetization	0.28	μB/f.u.

=====

This record from Alexandria describes a relaxed NpTl3Cu2O6 crystal. The functional is PBE.

a b c (Å): 6.1215 6.1215 7.2010
angles (deg): 90.00 90.00 120.00
Last column: nearest neighbours and their distance in Å.
Space group P-3m1 (No. 164)
One atom of each set of equivalent atoms:
Np  0.0000  0.0000  0.0000 (multiplicity 1)  6 O 2.07
Tl  0.0000  0.0000  0.5000 (multiplicity 1)  6 O 2.86
Tl  0.3333  0.6667  0.2265 (multiplicity 2)  1 Cu 2.88, 6 O 3.09
Cu  0.3333  0.6667  0.8262 (multiplicity 2)  3 O 1.89
O  0.1551  0.3101  0.8253 (multiplicity 6)  1 Cu 1.89, 1 Np 2.07

formation energy from raw total energies	-1.287	eV per atom
uncorrected energy	-73.4	eV/cell
ρ	7.63	Mg/m³
magnetization	0.18	μB/f.u.

=====

This record from Alexandria describes a relaxed NpTlCu2O6 crystal. The functional is PBE.

a b c (Å): 5.4608 5.4608 15.5120
angles (deg): 90.00 90.00 120.00
Last column: nearest neighbours and their distance in Å.
Space group R-3 (No. 148, hexagonal axes)
One atom of each set of equivalent atoms:
Np  0.0000  0.0000  0.0000 (multiplicity 3)  6 O 2.09
Tl  0.0000  0.0000  0.5000 (multiplicity 3)  6 O 2.31
Cu  0.0000  0.0000  0.2569 (multiplicity 6)  3 O 1.92
O  0.0069  0.3131  0.0790 (multiplicity 18)  1 Cu 1.92, 1 Np 2.09

formation energy from raw total energies	-1.380	eV per atom
uncorrected energy	-201.1	eV/cell
ρ	8.26	Mg/m³
magnetization	0.06	μB/f.u.

=====

This record from Alexandria describes a relaxed NpTl2Cu2O6 crystal. The functional is PBE.

a b c (Å): 6.0724 6.0724 16.9591
angles (deg): 90.00 90.00 120.00
Last column: nearest neighbours and their distance in Å.
Space group R-3m (No. 166, hexagonal axes)
One atom of each set of equivalent atoms:
Np  0.0000  0.0000  0.0000 (multiplicity 3)  6 O 2.05
Tl  0.0000  0.0000  0.2173 (multiplicity 6)  9 O 2.94-3.12, 1 Cu 3.24
Cu  0.0000  0.0000  0.4081 (multiplicity 6)  3 O 1.88
O  0.0234  0.5117  0.7398 (multiplicity 18)  1 Cu 1.88, 1 Np 2.05

formation energy from raw total energies	-1.375	eV per atom
uncorrected energy	-212.2	eV/cell
ρ	7.99	Mg/m³
magnetization	0.64	μB/f.u.

=====

This record from Alexandria describes a relaxed Np3Tl2CuO12 crystal. The functional is PBE.

a b c (Å): 7.9015 7.9015 17.5783
angles (deg): 90.00 90.00 120.00
Last column: nearest neighbours and their distance in Å.
Space group R-3m (No. 166, hexagonal axes)
One atom of each set of equivalent atoms:
Np  0.0000  0.5000  0.0000 (multiplicity 9)  2 O 1.88
Tl  0.0000  0.0000  0.1171 (multiplicity 6)  6 O 3.22-3.45
Cu  0.0000  0.0000  0.5000 (multiplicity 3)  6 O 2.08
O  0.0723  0.5361  0.3578 (multiplicity 18)  2 Np 2.12
O  0.0774  0.5387  0.1026 (multiplicity 18)  1 Np 1.88, 1 Cu 2.08

formation energy from raw total energies	-2.053	eV per atom
uncorrected energy	-432.3	eV/cell
ρ	7.21	Mg/m³
magnetization	0.08	μB/f.u.

=====

This record from Alexandria describes a relaxed NpTl2CuO8 crystal. The functional is PBE.

a b c (Å): 4.9557 5.0908 6.8426
angles (deg): 84.44 83.60 83.99
Last column: nearest neighbours and their distance in Å.
Space group P-1 (No. 2)
One atom of each set of equivalent atoms:
Np  0.0000  0.0000  0.0000 (multiplicity 1)  4 O 1.85-2.04
Tl  0.4463  0.4531  0.2705 (multiplicity 2)  5 O 2.22-2.29
Cu  0.0000  0.0000  0.5000 (multiplicity 1)  4 O 1.85-1.91
O  0.1755  0.1187  0.2601 (multiplicity 2)  1 Cu 1.85
O  0.2370  0.1715  0.8135 (multiplicity 2)  1 Np 1.85
O  0.2454  0.6854  0.5143 (multiplicity 2)  1 Cu 1.91
O  0.2679  0.6661  0.0002 (multiplicity 2)  1 Np 2.04, 1 Tl 2.27

formation energy from raw total energies	-1.229	eV per atom
uncorrected energy	-76.2	eV/cell
ρ	8.18	Mg/m³
magnetization	0.00	μB/f.u.